Below is an optimized crystal structure of KMnO2F, with properties calculated at the PBE+U level.

Output
Total magnetization = 3.00 μB/cell
Space-group type = P4/mmm, No. 123
E = -0.4225 Ry/atom

Geometry as POSCAR:
```
KMnO2F
1.0
3.836 0.000 0.000
0.000 3.836 0.000
0.000 0.000 4.458
Mn F O K
1 1 2 1
Cartesian
0.000 0.000 0.000
0.000 0.000 2.229
1.918 0.000 0.000
0.000 1.918 0.000
1.918 1.918 2.229
```